1.
Here is an optimized crystal structure of SmNbOs from OQMD via LeMat-Bulk. Energies are from PBE.

Computed properties:
**Relative energy among the computed polymorphs**: 859 meV per atom
**E_form**: 33.45 kcal/mol of atoms
**Space group**: F-43m

Unit cell a=4.5562 b=4.5562 c=4.5562 alpha=60.00 beta=60.00 gamma=60.00
Fractional positions:
Sm (0.0000, 0.0000, 0.0000)
Nb (0.7500, 0.7500, 0.7500)
Os (0.2500, 0.2500, 0.2500)



2.
Here is an optimized crystal structure of Nb2SnOs from OQMD via LeMat-Bulk. Energies are from PBE.

Computed properties:
**Space group**: F-43m

Unit cell a=4.6398 b=4.6398 c=4.6398 alpha=60.00 beta=60.00 gamma=60.00
Fractional positions:
Nb (0.0000, 0.0000, 0.0000)
Nb (0.2500, 0.2500, 0.2500)
Sn (0.5000, 0.5000, 0.5000)
Os (0.7500, 0.7500, 0.7500)



Number 1: E_tot -7.23 eV per atom. Number 2: E_tot -8.77 eV per atom.